VASP calculation (GGA-PBE) on a relaxed structure of HfCrCoSn2.

As for the formation energy: 7.85 eV/f.u.

The space group is P4/mmm (No. 123) and the conventional cell measures 5.418, 5.418 and 4.415 Å, with angles of 90.00, 90.00 and 90.00 degrees. The inequivalent atoms are Hf at (0.000, 0.000, 0.000), Cr at (0.500, 0.500, 0.500), Co at (0.000, 0.000, 0.500) and Sn at (0.000, 0.500, 0.000).